Density functional theory data (PBE+U) for crystalline TlCrNF2 at its relaxed geometry.

The crystal system is tetragonal. For the total moment, the calculation gives 2.0 μB per cell. The total energy is -27.36 eV/cell. The symmetry is P4/mmm. The density is 7.09 Mg/m³. The energy above the most stable polymorph in this dataset is 0.0000 eV per atom.

Lattice parameters (Å, degrees): 4.311 4.311 3.886 90.00 90.00 90.00
Sites, in units of the cell vectors:
Tl (0.000, 0.000, 0.000)
Cr (0.500, 0.500, 0.500)
N (0.500, 0.500, 0.000)
F (0.000, 0.500, 0.500)
F (0.500, 0.000, 0.500)

Density functional theory data (PBE+U) for crystalline TlCrNF2 at its relaxed geometry.

The crystal system is tetragonal. For the total moment, the calculation gives 4.0 μB per cell. The total energy is -22.98 eV/cell. The symmetry is P4/mmm. The density is 5.92 Mg/m³. The energy above the most stable polymorph in this dataset is 0.8766 eV per atom.

Lattice parameters (Å, degrees): 4.532 4.532 4.210 90.00 90.00 90.00
Sites, in units of the cell vectors:
Tl (0.000, 0.000, 0.000)
Cr (0.500, 0.500, 0.500)
N (0.000, 0.000, 0.500)
F (0.000, 0.500, 0.000)
F (0.500, 0.000, 0.000)

Density functional theory data (PBE+U) for crystalline VCrNF2 at its relaxed geometry.

The crystal system is tetragonal. For the total moment, the calculation gives 4.2 μB per cell. The total energy is -29.05 eV/cell. The symmetry is P4/mmm. The density is 3.02 Mg/m³. The energy above the most stable polymorph in this dataset is 0.7030 eV per atom.

Lattice parameters (Å, degrees): 3.710 3.710 6.190 90.00 90.00 90.00
Sites, in units of the cell vectors:
V (0.000, 0.000, 0.000)
Cr (0.000, 0.000, 0.500)
N (0.500, 0.500, 0.500)
F (0.000, 0.500, 0.000)
F (0.500, 0.000, 0.000)

Density functional theory data (PBE+U) for crystalline VCrNF2 at its relaxed geometry.

The crystal system is tetragonal. For the total moment, the calculation gives 6.0 μB per cell. The total energy is -32.56 eV/cell. The symmetry is P4/mmm. The density is 4.11 Mg/m³. The energy above the most stable polymorph in this dataset is 0.0000 eV per atom.

Lattice parameters (Å, degrees): 4.008 4.008 3.896 90.00 90.00 90.00
Sites, in units of the cell vectors:
V (0.000, 0.000, 0.000)
Cr (0.500, 0.500, 0.500)
N (0.000, 0.000, 0.500)
F (0.000, 0.500, 0.000)
F (0.500, 0.000, 0.000)

The evaluated DOS(E_F) for the records listed, in turn: 0.83 1.65 2.24 2.85 states/eV per cell.